VASP calculation (PBE) on Zr4UPa3N8 after structural relaxation.

Cell: 6.825 6.825 6.825 Å, 58.39 58.39 58.39°
Fractional positions:
Zr 0.000 0.000 0.000
Zr 0.000 0.500 0.500
Zr 0.500 0.000 0.500
Zr 0.500 0.500 0.000
U 0.500 0.500 0.500
Pa 0.000 0.000 0.500
Pa 0.000 0.500 0.000
Pa 0.500 0.000 0.000
N 0.245 0.245 0.742
N 0.245 0.742 0.245
N 0.257 0.257 0.257
N 0.258 0.755 0.755
N 0.742 0.245 0.245
N 0.743 0.743 0.743
N 0.755 0.258 0.755
N 0.755 0.755 0.258

Values from the calculation:
The calculation puts the uncorrected formation energy at -1632 meV/atom.

=====

VASP calculation (PBE) on Zr3UPa2N6 after structural relaxation.

Cell: 5.772 5.772 5.933 Å, 99.35 99.35 119.96°
Fractional positions:
Zr 0.000 0.000 0.000
Zr 0.333 0.667 0.000
Zr 0.667 0.333 0.000
U 0.500 0.500 0.500
Pa 0.166 0.834 0.500
Pa 0.834 0.166 0.500
N 0.082 0.412 0.235
N 0.259 0.259 0.768
N 0.412 0.082 0.235
N 0.588 0.918 0.765
N 0.741 0.741 0.232
N 0.918 0.588 0.765

Values from the calculation:
The calculation puts the uncorrected formation energy at -1615 meV/atom.

=====

VASP calculation (PBE) on Pa4VN7 after structural relaxation.

Cell: 6.692 6.692 8.984 Å, 130.70 130.70 33.48°
Fractional positions:
Pa 0.080 0.080 0.375
Pa 0.249 0.249 0.161
Pa 0.751 0.751 0.839
Pa 0.920 0.920 0.625
V 0.500 0.500 0.000
N 0.000 0.000 0.000
N 0.128 0.128 0.686
N 0.301 0.301 0.455
N 0.409 0.409 0.113
N 0.591 0.591 0.887
N 0.699 0.699 0.545
N 0.872 0.872 0.314

Values from the calculation:
The calculation puts the uncorrected formation energy at -1547 meV/atom.

=====

VASP calculation (PBE) on PaVN after structural relaxation.

Cell: 3.068 3.068 5.452 Å, 90.00 90.00 120.00°
Fractional positions:
Pa 0.000 0.000 0.000
V 0.667 0.333 0.492
N 0.333 0.667 0.316

Values from the calculation:
The calculation puts the uncorrected formation energy at -661 meV/atom. As for the energy above the most stable polymorph in this dataset: 0 meV per atom.

=====

VASP calculation (PBE) on PaVN after structural relaxation.

Cell: 4.501 4.501 4.501 Å, 130.34 130.34 72.87°
Fractional positions:
Pa 0.000 0.000 0.000
V 0.445 0.445 0.000
N 0.692 0.692 0.000

Values from the calculation:
The calculation puts the uncorrected formation energy at 235 meV/atom. As for the energy above the most stable polymorph in this dataset: 895 meV per atom.

=====

VASP calculation (PBE) on Pa5V3N12 after structural relaxation.

Cell: 11.311 11.311 11.311 Å, 109.47 109.47 109.47°
Fractional positions:
Pa 0.000 0.000 0.000
Pa 0.000 0.000 0.500
Pa 0.000 0.500 0.000
Pa 0.000 0.500 0.500
Pa 0.125 0.750 0.875
Pa 0.125 0.875 0.250
Pa 0.250 0.125 0.875
Pa 0.250 0.625 0.375
Pa 0.375 0.250 0.625
Pa 0.375 0.625 0.750
Pa 0.500 0.000 0.000
Pa 0.500 0.000 0.500
Pa 0.500 0.500 0.000
Pa 0.500 0.500 0.500
Pa 0.625 0.375 0.250
Pa 0.625 0.750 0.375
Pa 0.750 0.375 0.625
Pa 0.750 0.875 0.125
Pa 0.875 0.125 0.750
Pa 0.875 0.250 0.125
V 0.125 0.250 0.375
V 0.125 0.375 0.750
V 0.250 0.375 0.125
V 0.250 0.875 0.625
V 0.375 0.125 0.250
V 0.375 0.750 0.125
V 0.625 0.250 0.875
V 0.625 0.875 0.750
V 0.750 0.125 0.375
V 0.750 0.625 0.875
V 0.875 0.625 0.250
V 0.875 0.750 0.625
N 0.031 0.645 0.213
N 0.031 0.887 0.819
N 0.068 0.181 0.713
N 0.068 0.387 0.355
N 0.113 0.181 0.969
N 0.113 0.432 0.145
N 0.145 0.113 0.432
N 0.145 0.531 0.713
N 0.181 0.713 0.068
N 0.181 0.969 0.113
N 0.213 0.031 0.645
N 0.213 0.681 0.568
N 0.287 0.855 0.469
N 0.287 0.932 0.819
N 0.319 0.387 0.531
N 0.319 0.432 0.787
N 0.355 0.068 0.387
N 0.355 0.787 0.969
N 0.387 0.355 0.068
N 0.387 0.531 0.319
N 0.432 0.145 0.113
N 0.432 0.787 0.319
N 0.469 0.287 0.855
N 0.469 0.681 0.613
N 0.531 0.319 0.387
N 0.531 0.713 0.145
N 0.568 0.213 0.681
N 0.568 0.855 0.887
N 0.613 0.469 0.681
N 0.613 0.645 0.932
N 0.645 0.213 0.031
N 0.645 0.932 0.613
N 0.681 0.568 0.213
N 0.681 0.613 0.469
N 0.713 0.068 0.181
N 0.713 0.145 0.531
N 0.787 0.319 0.432
N 0.787 0.969 0.355
N 0.819 0.031 0.887
N 0.819 0.287 0.932
N 0.855 0.469 0.287
N 0.855 0.887 0.568
N 0.887 0.568 0.855
N 0.887 0.819 0.031
N 0.932 0.613 0.645
N 0.932 0.819 0.287
N 0.969 0.113 0.181
N 0.969 0.355 0.787

Values from the calculation:
The calculation puts the uncorrected formation energy at -1185 meV/atom.